Compound: KRbY2Pb
Source: Alexandria via LeMat-Bulk
Functional: PBE-GGA
Structure: relaxed

Values from the calculation:
The value obtained for the energy relative to the elements is 0.302 eV per atom. The calculation puts the density of states at the Fermi level at 4.8 states/eV per cell.

Structure (CIF):
```
data_KRbY2Pb
_chemical_formula_sum 'K1 Rb1 Y2 Pb1'
_space_group_name_H-M_alt 'P 4/m m m'
_space_group_IT_number 123
_space_group_name_Hall '-P 4 2'
_cell_length_a 5.9852
_cell_length_b 5.9852
_cell_length_c 7.2019
_cell_angle_alpha 90.00
_cell_angle_beta 90.00
_cell_angle_gamma 90.00
loop_
_atom_site_label
_atom_site_type_symbol
_atom_site_fract_x
_atom_site_fract_y
_atom_site_fract_z
K1 K 0.0000 0.0000 0.0000
Rb1 Rb 0.5000 0.5000 0.0000
Y1 Y 0.0000 0.5000 0.5000
Pb1 Pb 0.5000 0.5000 0.5000
```